Entry 1:
DFT (GGA-PBE) results for a relaxed TePd12 crystal.

Unit cell a=4.786 b=6.113 c=24.226 alpha=89.31 beta=89.83 gamma=75.61
Fractional coordinates of all 26 atoms:
Te 0.143 0.327 0.229
Te 0.857 0.673 0.771
Pd 0.002 0.748 0.266
Pd 0.002 0.750 0.577
Pd 0.142 0.829 0.689
Pd 0.143 0.824 0.378
Pd 0.145 0.321 0.533
Pd 0.286 0.892 0.489
Pd 0.288 0.388 0.644
Pd 0.288 0.392 0.336
Pd 0.424 0.473 0.756
Pd 0.427 0.466 0.445
Pd 0.430 0.963 0.600
Pd 0.432 0.963 0.286
Pd 0.568 0.037 0.714
Pd 0.570 0.037 0.400
Pd 0.573 0.534 0.555
Pd 0.576 0.527 0.244
Pd 0.712 0.608 0.664
Pd 0.712 0.612 0.356
Pd 0.714 0.108 0.511
Pd 0.855 0.679 0.467
Pd 0.857 0.176 0.622
Pd 0.858 0.171 0.311
Pd 0.998 0.250 0.423
Pd 0.998 0.252 0.734

Values from the calculation:
**SG**: No. 2
**Calculated total energy**: -5.025 eV/atom


Entry 2:
DFT (GGA-PBE) results for a relaxed CsNaPtW crystal.

Unit cell a=4.936 b=4.936 c=4.936 alpha=60.00 beta=60.00 gamma=60.00
Fractional coordinates of all 4 atoms:
Cs 0.000 0.000 0.000
Na 0.250 0.250 0.250
Pt 0.500 0.500 0.500
W 0.750 0.750 0.750

Values from the calculation:
**SG**: No. 216
**Calculated total energy**: -3.934 eV/atom


Entry 3:
DFT (GGA-PBE) results for a relaxed Zr3W crystal.

Unit cell a=6.249 b=6.249 c=5.003 alpha=90.00 beta=90.00 gamma=120.00
Fractional coordinates of all 8 atoms:
Zr 0.173 0.346 0.250
Zr 0.173 0.827 0.250
Zr 0.346 0.173 0.750
Zr 0.654 0.827 0.250
Zr 0.827 0.173 0.750
Zr 0.827 0.654 0.750
W 0.333 0.667 0.750
W 0.667 0.333 0.250

Values from the calculation:
**SG**: No. 194
**Formation energy**: 271 meV per atom


Entry 4:
DFT (GGA-PBE) results for a relaxed NaNdPtSe3 crystal.

Unit cell a=7.512 b=7.512 c=10.559 alpha=90.00 beta=90.00 gamma=148.83
Fractional coordinates of all 12 atoms:
Na 0.236 0.764 0.750
Na 0.764 0.236 0.250
Nd 0.000 0.000 0.000
Nd 0.000 0.000 0.500
Pt 0.490 0.510 0.250
Pt 0.510 0.490 0.750
Se 0.097 0.903 0.250
Se 0.363 0.637 0.086
Se 0.363 0.637 0.414
Se 0.637 0.363 0.586
Se 0.637 0.363 0.914
Se 0.903 0.097 0.750

Values from the calculation:
**SG**: No. 63
**Calculated total energy**: -4.817 eV/atom


Entry 5:
DFT (GGA-PBE) results for a relaxed PrSmSe2 crystal.

Unit cell a=4.213 b=4.213 c=5.961 alpha=90.00 beta=90.00 gamma=90.00
Fractional coordinates of all 4 atoms:
Pr 0.000 0.000 0.000
Sm 0.500 0.500 0.500
Se 0.000 0.000 0.500
Se 0.500 0.500 0.000

Values from the calculation:
**SG**: No. 123
**Calculated total energy**: -5.941 eV/atom


Entry 6:
DFT (GGA-PBE) results for a relaxed GdMgZn crystal.

Unit cell a=4.698 b=4.698 c=7.066 alpha=90.04 beta=90.04 gamma=60.11
Fractional coordinates of all 6 atoms:
Gd 0.167 0.167 0.129
Gd 0.833 0.833 0.871
Mg 0.167 0.167 0.608
Mg 0.833 0.833 0.392
Zn 0.500 0.500 0.300
Zn 0.500 0.500 0.700

Values from the calculation:
**SG**: No. 12
**Calculated total energy**: -2.547 eV/atom


Entry 7:
DFT (GGA-PBE) results for a relaxed AcLuPO crystal.

Unit cell a=4.994 b=6.432 c=6.186 alpha=90.00 beta=90.00 gamma=90.00
Fractional coordinates of all 8 atoms:
Ac 0.000 0.233 0.000
Ac 0.000 0.767 0.500
Lu 0.500 0.343 0.575
Lu 0.500 0.657 0.075
P 0.000 0.243 0.498
P 0.000 0.757 0.998
O 0.500 0.364 0.920
O 0.500 0.636 0.420

Values from the calculation:
**SG**: No. 26
**Calculated total energy**: -6.807 eV/atom


Entry 8:
DFT (GGA-PBE) results for a relaxed Be2AuO4 crystal.

Unit cell a=5.630 b=5.630 c=5.630 alpha=60.00 beta=60.00 gamma=60.00
Fractional coordinates of all 14 atoms:
Be 0.000 0.000 0.000
Be 0.000 0.000 0.500
Be 0.000 0.500 0.000
Be 0.500 0.000 0.000
Au 0.375 0.375 0.375
Au 0.625 0.625 0.625
O 0.183 0.772 0.772
O 0.228 0.228 0.228
O 0.228 0.228 0.817
O 0.228 0.817 0.228
O 0.772 0.183 0.772
O 0.772 0.772 0.183
O 0.772 0.772 0.772
O 0.817 0.228 0.228

Values from the calculation:
**SG**: No. 227
**Calculated total energy**: -5.306 eV/atom


Entry 9:
DFT (GGA-PBE) results for a relaxed Cu crystal.

Unit cell a=8.520 b=8.520 c=8.520 alpha=16.80 beta=16.80 gamma=16.80
Fractional coordinates of all 2 atoms:
Cu 0.208 0.208 0.208
Cu 0.792 0.792 0.792

Values from the calculation:
**SG**: No. 166
**Formation energy**: 435 meV per atom


Entry 10:
DFT (GGA-PBE) results for a relaxed YCuBi2 crystal.

Unit cell a=5.302 b=5.302 c=5.302 alpha=60.00 beta=60.00 gamma=60.00
Fractional coordinates of all 4 atoms:
Y 0.000 0.000 0.000
Cu 0.750 0.750 0.750
Bi 0.250 0.250 0.250
Bi 0.500 0.500 0.500

Values from the calculation:
**SG**: No. 216
**Calculated total energy**: -4.581 eV/atom


Entry 11:
DFT (GGA-PBE) results for a relaxed LiZrCuSeS2 crystal.

Unit cell a=6.538 b=6.538 c=9.939 alpha=90.00 beta=90.00 gamma=147.46
Fractional coordinates of all 12 atoms:
Li 0.214 0.786 0.750
Li 0.786 0.214 0.250
Zr 0.000 0.000 0.000
Zr 0.000 0.000 0.500
Cu 0.476 0.524 0.250
Cu 0.524 0.476 0.750
Se 0.104 0.896 0.250
Se 0.896 0.104 0.750
S 0.366 0.634 0.069
S 0.366 0.634 0.431
S 0.634 0.366 0.569
S 0.634 0.366 0.931

Values from the calculation:
**SG**: No. 63
**Calculated total energy**: -5.436 eV/atom


Entry 12:
DFT (GGA-PBE) results for a relaxed PaZn crystal.

Unit cell a=6.197 b=4.388 c=6.097 alpha=90.00 beta=90.00 gamma=90.00
Fractional coordinates of all 8 atoms:
Pa 0.108 0.250 0.095
Pa 0.392 0.750 0.595
Pa 0.608 0.250 0.405
Pa 0.892 0.750 0.905
Zn 0.073 0.250 0.598
Zn 0.427 0.750 0.098
Zn 0.573 0.250 0.902
Zn 0.927 0.750 0.402

Values from the calculation:
**SG**: No. 62
**Formation energy**: 40 meV per atom


Ρ, respectively: 6.79; 10.45; 8.98; 6.45; 7.05; 6.07; 7.50; 7.34; 4.68; 8.99; 4.43; 11.88 Mg/m³.